K2HBr4: optimized geometry, PBE.

Calculated values
N(E_F)   18.775 states/eV/cell
Total DFT energy (no corrections)   -2.469 eV per atom

Structure (CIF):
```
data_K2HBr4
_chemical_formula_sum 'K4 H2 Br8'
_cell_length_a 4.4838
_cell_length_b 4.4838
_cell_length_c 21.5335
_cell_angle_alpha 90.00
_cell_angle_beta 90.00
_cell_angle_gamma 90.00
_symmetry_space_group_name_H-M 'I 4/m m m'
_symmetry_Int_Tables_number 139
_symmetry_space_group_name_Hall '-I 4 2'
loop_
_atom_site_label
_atom_site_type_symbol
_atom_site_fract_x
_atom_site_fract_y
_atom_site_fract_z
K1 K 0.0000 0.0000 0.1658
H1 H 0.0000 0.0000 0.5000
Br1 Br 0.0000 0.0000 0.3224
Br2 Br 0.0000 0.5000 0.0000
```